[1]
The following is a GGA-PBE calculation of a relaxed SrPPd3 crystal, from Alexandria.

Values from the calculation:
Density of states at the Fermi level, states/eV/f.u.: 1.0
Size of the total moment, Bohr magnetons per cell: 0.00
Calculated total energy, eV per atom: -5.18

```
data_SrPPd3
_chemical_formula_sum 'Sr8 P8 Pd24'
_space_group_name_H-M_alt 'C 1 2/c 1'
_space_group_IT_number 15
_cell_length_a 11.860
_cell_length_b 9.411
_cell_length_c 7.566
_cell_angle_alpha 90.00
_cell_angle_beta 115.45
_cell_angle_gamma 90.00
loop_
_space_group_symop_operation_xyz
'x,y,z'
'-x,-y,-z'
'-x,y,-z+1/2'
'x,-y,z+1/2'
'x+1/2,y+1/2,z'
'-x+1/2,-y+1/2,-z'
'-x+1/2,y+1/2,-z+1/2'
'x+1/2,-y+1/2,z+1/2'
loop_
_atom_site_label
_atom_site_fract_x
_atom_site_fract_y
_atom_site_fract_z
_atom_site_occupancy
Sr1 0.000 0.113 0.250 1
Sr2 0.000 0.287 0.750 1
P1 0.206 0.109 0.698 1
Pd1 0.081 0.415 0.161 1
Pd2 0.189 0.340 0.570 1
Pd3 0.231 0.100 0.029 1
```

[2]
The following is a GGA-PBE calculation of a relaxed SrPPd3 crystal, from Alexandria.

Values from the calculation:
Density of states at the Fermi level, states/eV/f.u.: 2.3
Size of the total moment, Bohr magnetons per cell: 0.00
Calculated total energy, eV per atom: -5.20

```
data_SrPPd3
_chemical_formula_sum 'Sr4 P4 Pd12'
_space_group_name_H-M_alt 'I m m a'
_space_group_IT_number 74
_space_group_name_Hall '-I 2b 2'
_cell_length_a 5.585
_cell_length_b 7.550
_cell_length_c 9.324
_cell_angle_alpha 90.00
_cell_angle_beta 90.00
_cell_angle_gamma 90.00
loop_
_atom_site_label
_atom_site_fract_x
_atom_site_fract_y
_atom_site_fract_z
_atom_site_occupancy
Sr1 0.000 0.000 0.000 1
P1 0.000 0.250 0.454 1
Pd1 0.000 0.061 0.654 1
Pd2 0.250 0.250 0.250 1
```

[3]
The following is a GGA-PBE calculation of a relaxed SrP3Pd crystal, from Alexandria.

Values from the calculation:
Density of states at the Fermi level, states/eV/f.u.: 4.4
Size of the total moment, Bohr magnetons per cell: 0.00
Calculated total energy, eV per atom: -4.59

```
data_SrP3Pd
_chemical_formula_sum 'Sr1 P3 Pd1'
_space_group_name_H-M_alt 'P m -3 m'
_space_group_IT_number 221
_space_group_name_Hall '-P 4 2 3'
_cell_length_a 4.806
_cell_length_b 4.806
_cell_length_c 4.806
_cell_angle_alpha 90.00
_cell_angle_beta 90.00
_cell_angle_gamma 90.00
loop_
_atom_site_label
_atom_site_fract_x
_atom_site_fract_y
_atom_site_fract_z
_atom_site_occupancy
Sr1 0.000 0.000 0.000 1
P1 0.000 0.500 0.500 1
Pd1 0.500 0.500 0.500 1
```

[4]
The following is a GGA-PBE calculation of a relaxed SrPPd3 crystal, from Alexandria.

Values from the calculation:
Density of states at the Fermi level, states/eV/f.u.: 2.6
Size of the total moment, Bohr magnetons per cell: 0.00
Calculated total energy, eV per atom: -5.10

```
data_SrPPd3
_chemical_formula_sum 'Sr2 P2 Pd6'
_space_group_name_H-M_alt 'P 1 21/m 1'
_space_group_IT_number 11
_cell_length_a 4.383
_cell_length_b 6.812
_cell_length_c 6.651
_cell_angle_alpha 90.00
_cell_angle_beta 90.10
_cell_angle_gamma 90.00
loop_
_space_group_symop_operation_xyz
'x,y,z'
'-x,-y,-z'
'-x,y+1/2,-z'
'x,-y+1/2,z'
loop_
_atom_site_label
_atom_site_fract_x
_atom_site_fract_y
_atom_site_fract_z
_atom_site_occupancy
Sr1 0.250 0.250 0.166 1
P1 0.249 0.750 0.481 1
Pd1 0.250 0.051 0.638 1
Pd2 0.250 0.750 0.146 1
```

[5]
The following is a GGA-PBE calculation of a relaxed SrPPd3 crystal, from Alexandria.

Values from the calculation:
Density of states at the Fermi level, states/eV/f.u.: 2.6
Size of the total moment, Bohr magnetons per cell: 0.00
Calculated total energy, eV per atom: -4.75

```
data_SrPPd3
_chemical_formula_sum 'Sr4 P4 Pd12'
_space_group_name_H-M_alt 'C m c m'
_space_group_IT_number 63
_space_group_name_Hall '-C 2c 2'
_cell_length_a 5.242
_cell_length_b 15.588
_cell_length_c 5.503
_cell_angle_alpha 90.00
_cell_angle_beta 90.00
_cell_angle_gamma 90.00
loop_
_atom_site_label
_atom_site_fract_x
_atom_site_fract_y
_atom_site_fract_z
_atom_site_occupancy
Sr1 0.000 0.176 0.250 1
P1 0.000 0.485 0.250 1
Pd1 0.000 0.000 0.000 1
Pd2 0.249 0.136 0.750 1
```

[6]
The following is a GGA-PBE calculation of a relaxed Sr2P7Pd12 crystal, from Alexandria.

Values from the calculation:
Density of states at the Fermi level, states/eV/f.u.: 11.0
Size of the total moment, Bohr magnetons per cell: 0.00
Calculated total energy, eV per atom: -5.56

```
data_Sr2P7Pd12
_chemical_formula_sum 'Sr2 P7 Pd12'
_space_group_name_H-M_alt 'P -3'
_space_group_IT_number 147
_cell_length_a 9.8363
_cell_length_b 9.8363
_cell_length_c 4.0886
_cell_angle_alpha 90.00
_cell_angle_beta 90.00
_cell_angle_gamma 120.00
loop_
_space_group_symop_operation_xyz
'x,y,z'
'-x,-y,-z'
'-y,x-y,z'
'y,-x+y,-z'
'-x+y,-x,z'
'x-y,x,-z'
loop_
_atom_site_label
_atom_site_fract_x
_atom_site_fract_y
_atom_site_fract_z
_atom_site_occupancy
Sr1 0.3333 0.6667 0.2498 1
P1 0.0000 0.0000 0.0000 1
P2 0.1130 0.4083 0.7474 1
Pd1 0.0575 0.6218 0.7505 1
Pd2 0.1030 0.8550 0.2616 1
```

[7]
The following is a GGA-PBE calculation of a relaxed SrP6Pd12 crystal, from Alexandria.

Values from the calculation:
Density of states at the Fermi level, states/eV/f.u.: 10.2
Size of the total moment, Bohr magnetons per cell: 0.00
Calculated total energy, eV per atom: -5.58

```
data_SrP6Pd12
_chemical_formula_sum 'Sr3 P18 Pd36'
_space_group_name_H-M_alt 'R -3 m'
_space_group_IT_number 166
_space_group_name_Hall '-R 3 2"'
_cell_length_a 11.0861
_cell_length_b 11.0861
_cell_length_c 8.8990
_cell_angle_alpha 90.00
_cell_angle_beta 90.00
_cell_angle_gamma 120.00
loop_
_atom_site_label
_atom_site_fract_x
_atom_site_fract_y
_atom_site_fract_z
_atom_site_occupancy
Sr1 0.0000 0.0000 0.0000 1
P1 0.0457 0.5229 0.2876 1
Pd1 0.0000 0.3724 0.5000 1
Pd2 0.0906 0.1812 0.3621 1
```

[8]
The following is a GGA-PBE calculation of a relaxed SrPPd3 crystal, from Alexandria.

Values from the calculation:
Density of states at the Fermi level, states/eV/f.u.: 2.3
Size of the total moment, Bohr magnetons per cell: 0.00
Calculated total energy, eV per atom: -5.32

```
data_SrPPd3
_chemical_formula_sum 'Sr1 P1 Pd3'
_space_group_name_H-M_alt 'P 4 m m'
_space_group_IT_number 99
_cell_length_a 4.440
_cell_length_b 4.440
_cell_length_c 4.907
_cell_angle_alpha 90.00
_cell_angle_beta 90.00
_cell_angle_gamma 90.00
loop_
_space_group_symop_operation_xyz
'x,y,z'
'-y,x,z'
'-x,-y,z'
'y,-x,z'
'-x,y,z'
'y,x,z'
'x,-y,z'
'-y,-x,z'
loop_
_atom_site_label
_atom_site_fract_x
_atom_site_fract_y
_atom_site_fract_z
_atom_site_occupancy
Sr1 0.000 0.000 0.000 1
P1 0.500 0.500 0.329 1
Pd1 0.000 0.500 0.499 1
Pd2 0.500 0.500 0.859 1
```

[9]
The following is a GGA-PBE calculation of a relaxed Sr2P2Pd crystal, from Alexandria.

Values from the calculation:
Density of states at the Fermi level, states/eV/f.u.: 0.9
Size of the total moment, Bohr magnetons per cell: 0.00
Calculated total energy, eV per atom: -4.68

```
data_Sr2P2Pd
_chemical_formula_sum 'Sr4 P4 Pd2'
_space_group_name_H-M_alt 'P 4/m b m'
_space_group_IT_number 127
_space_group_name_Hall '-P 4 2ab'
_cell_length_a 7.071
_cell_length_b 7.071
_cell_length_c 4.499
_cell_angle_alpha 90.00
_cell_angle_beta 90.00
_cell_angle_gamma 90.00
loop_
_atom_site_label
_atom_site_fract_x
_atom_site_fract_y
_atom_site_fract_z
_atom_site_occupancy
Sr1 0.182 0.318 0.000 1
P1 0.115 0.615 0.500 1
Pd1 0.000 0.000 0.500 1
```

[10]
The following is a GGA-PBE calculation of a relaxed SrP2Pd6 crystal, from Alexandria.

Values from the calculation:
Density of states at the Fermi level, states/eV/f.u.: 7.2
Size of the total moment, Bohr magnetons per cell: 0.00
Calculated total energy, eV per atom: -5.37

```
data_SrP2Pd6
_chemical_formula_sum 'Sr1 P2 Pd6'
_space_group_name_H-M_alt 'P 4/m m m'
_space_group_IT_number 123
_space_group_name_Hall '-P 4 2'
_cell_length_a 4.197
_cell_length_b 4.197
_cell_length_c 8.544
_cell_angle_alpha 90.00
_cell_angle_beta 90.00
_cell_angle_gamma 90.00
loop_
_atom_site_label
_atom_site_fract_x
_atom_site_fract_y
_atom_site_fract_z
_atom_site_occupancy
Sr1 0.000 0.000 0.000 1
P1 0.500 0.500 0.142 1
Pd1 0.000 0.000 0.500 1
Pd2 0.000 0.500 0.279 1
Pd3 0.500 0.500 0.500 1
```